Entry 1:
# AlFeGeSe4 (PBE, relaxed)
# Distance to the lowest polymorph of the same formula, meV per atom: 9
# Magnetic moment, μB/atom: 0.544
# Crystal system: tetragonal
data_AlFeGeSe4
_chemical_formula_sum 'Al4 Fe4 Ge4 Se16'
_symmetry_space_group_name_H-M 'P 41 2 2'
_symmetry_Int_Tables_number 91
_cell_length_a 7.620
_cell_length_b 7.620
_cell_length_c 10.712
_cell_angle_alpha 90.00
_cell_angle_beta 90.00
_cell_angle_gamma 90.00
loop_
_symmetry_equiv_pos_as_xyz
'x,y,z'
'-y,x,z+1/4'
'-x,-y,z+1/2'
'y,-x,z+3/4'
'x,-y,-z+1/2'
'-y,-x,-z+1/4'
'-x,y,-z'
'y,x,-z+3/4'
loop_
_atom_site_label
_atom_site_type_symbol
_atom_site_fract_x
_atom_site_fract_y
_atom_site_fract_z
_atom_site_occupancy
Al1 Al 0.000 0.249 0.000 1
Fe1 Fe 0.247 0.247 0.375 1
Ge1 Ge 0.251 0.500 0.750 1
Se1 Se 0.011 0.242 0.759 1
Se2 Se 0.239 0.489 0.002 1

Entry 2:
# AlFeGeSe4 (PBE, relaxed)
# Distance to the lowest polymorph of the same formula, meV per atom: 37
# Magnetic moment, μB/atom: 0.001
# Crystal system: tetragonal
data_AlFeGeSe4
_chemical_formula_sum 'Al4 Fe4 Ge4 Se16'
_symmetry_space_group_name_H-M 'P 41 2 2'
_symmetry_Int_Tables_number 91
_cell_length_a 7.527
_cell_length_b 7.527
_cell_length_c 10.418
_cell_angle_alpha 90.00
_cell_angle_beta 90.00
_cell_angle_gamma 90.00
loop_
_symmetry_equiv_pos_as_xyz
'x,y,z'
'-y,x,z+1/4'
'-x,-y,z+1/2'
'y,-x,z+3/4'
'x,-y,-z+1/2'
'-y,-x,-z+1/4'
'-x,y,-z'
'y,x,-z+3/4'
loop_
_atom_site_label
_atom_site_type_symbol
_atom_site_fract_x
_atom_site_fract_y
_atom_site_fract_z
_atom_site_occupancy
Al1 Al 0.239 0.239 0.375 1
Fe1 Fe 0.000 0.246 0.000 1
Ge1 Ge 0.249 0.500 0.750 1
Se1 Se 0.022 0.229 0.770 1
Se2 Se 0.227 0.477 0.009 1

Entry 3:
# AlFeGeSe4 (PBE, relaxed)
# Distance to the lowest polymorph of the same formula, meV per atom: 0
# Magnetic moment, μB/atom: 0.002
# Crystal system: tetragonal
data_AlFeGeSe4
_chemical_formula_sum 'Al4 Fe4 Ge4 Se16'
_symmetry_space_group_name_H-M 'P 41 2 2'
_symmetry_Int_Tables_number 91
_cell_length_a 7.560
_cell_length_b 7.560
_cell_length_c 10.538
_cell_angle_alpha 90.00
_cell_angle_beta 90.00
_cell_angle_gamma 90.00
loop_
_symmetry_equiv_pos_as_xyz
'x,y,z'
'-y,x,z+1/4'
'-x,-y,z+1/2'
'y,-x,z+3/4'
'x,-y,-z+1/2'
'-y,-x,-z+1/4'
'-x,y,-z'
'y,x,-z+3/4'
loop_
_atom_site_label
_atom_site_type_symbol
_atom_site_fract_x
_atom_site_fract_y
_atom_site_fract_z
_atom_site_occupancy
Al1 Al 0.000 0.255 0.000 1
Fe1 Fe 0.256 0.500 0.750 1
Ge1 Ge 0.256 0.256 0.375 1
Se1 Se 0.038 0.263 0.756 1
Se2 Se 0.264 0.468 0.979 1